[1]
# Ni3AgSe6

An optimized crystal structure of Ni3AgSe6 (PBE, the Alexandria database).

```
data_Ni3AgSe6
_symmetry_space_group_name_H-M 'C m m m'
_symmetry_Int_Tables_number 65
_symmetry_space_group_name_Hall '-C 2 2'
_cell_length_a 8.9598
_cell_length_b 11.7954
_cell_length_c 3.7179
_cell_angle_alpha 90.00
_cell_angle_beta 90.00
_cell_angle_gamma 90.00
loop_
_atom_site_label
_atom_site_fract_x
_atom_site_fract_y
_atom_site_fract_z
Ni1 0.0000 0.0000 0.0000
Ni2 0.2500 0.2500 0.5000
Ag1 0.0000 0.5000 0.0000
Se1 0.0000 0.3327 0.5000
Se2 0.1970 0.1246 0.0000
```

Values from the calculation:
* formation energy from raw total energies: -130 meV/atom

[2]
# BaBe3Bi

An optimized crystal structure of BaBe3Bi (PBE, the Alexandria database).

```
data_BaBe3Bi
_symmetry_space_group_name_H-M 'P m -3 m'
_symmetry_Int_Tables_number 221
_symmetry_space_group_name_Hall '-P 4 2 3'
_cell_length_a 5.1033
_cell_length_b 5.1033
_cell_length_c 5.1033
_cell_angle_alpha 90.00
_cell_angle_beta 90.00
_cell_angle_gamma 90.00
loop_
_atom_site_label
_atom_site_fract_x
_atom_site_fract_y
_atom_site_fract_z
Ba1 0.0000 0.0000 0.0000
Be1 0.0000 0.5000 0.5000
Bi1 0.5000 0.5000 0.5000
```

Values from the calculation:
* offset from the most stable computed form: 0 meV per atom
* formation energy from the elements: 92.5 kJ/mol of atoms

Please write out number 2 again, unchanged.
# BaBe3Bi

An optimized crystal structure of BaBe3Bi (PBE, the Alexandria database).

```
data_BaBe3Bi
_symmetry_space_group_name_H-M 'P m -3 m'
_symmetry_Int_Tables_number 221
_symmetry_space_group_name_Hall '-P 4 2 3'
_cell_length_a 5.1033
_cell_length_b 5.1033
_cell_length_c 5.1033
_cell_angle_alpha 90.00
_cell_angle_beta 90.00
_cell_angle_gamma 90.00
loop_
_atom_site_label
_atom_site_fract_x
_atom_site_fract_y
_atom_site_fract_z
Ba1 0.0000 0.0000 0.0000
Be1 0.0000 0.5000 0.5000
Bi1 0.5000 0.5000 0.5000
```

Values from the calculation:
* offset from the most stable computed form: 0 meV per atom
* formation energy from the elements: 92.5 kJ/mol of atoms